(1)
DFT (PBE) results for Pu3GeRh after structural relaxation.

Cell and atoms, written as POSCAR:
```
Pu3GeRh
1.0
7.4511 -1.9560 0.0000
7.4511 1.9560 0.0000
-0.8007 0.0000 8.1145
Pu Ge Rh
6 2 2
Direct
0.0000 0.0000 0.0000
0.1578 0.1578 0.6352
0.3505 0.3505 0.7443
0.5150 0.5150 0.3881
0.7097 0.7097 0.0219
0.8027 0.8027 0.3597
0.1500 0.1500 0.2721
0.3651 0.3651 0.1111
0.5628 0.5628 0.7853
0.9485 0.9485 0.6050
```

Output
Formation enthalpy at 0 K in eV/atom: -0.2749

(2)
DFT (PBE) results for Co2RhCl after structural relaxation.

Cell and atoms, written as POSCAR:
```
Co2RhCl
1.0
1.4318 -2.4505 0.0000
1.4318 2.4505 0.0000
0.0000 0.0000 8.0405
Co Rh Cl
2 1 1
Direct
0.0000 0.0000 0.2441
0.0000 0.0000 0.7559
0.5000 0.5000 0.5000
0.5000 0.5000 0.0000
```

Output
Formation energy from raw total energies in meV/atom: 458

(3)
DFT (PBE) results for Rb8OF6 after structural relaxation.

Cell and atoms, written as POSCAR:
```
Rb8OF6
1.0
5.7063 3.2945 3.9895
-5.7063 3.2945 3.9895
0.0000 -6.5891 3.9895
Rb O F
8 1 6
Direct
0.1658 0.6961 0.3699
0.2191 0.2191 0.2191
0.3039 0.6301 0.8342
0.3699 0.1658 0.6961
0.6301 0.8342 0.3039
0.6961 0.3699 0.1658
0.7809 0.7809 0.7809
0.8342 0.3039 0.6301
0.0000 0.0000 0.0000
0.1603 0.3851 0.5539
0.3851 0.5539 0.1603
0.4461 0.8397 0.6149
0.5539 0.1603 0.3851
0.6149 0.4461 0.8397
0.8397 0.6149 0.4461
```

Output
Formation energy from raw total energies in meV/atom: -2171

(4)
DFT (PBE) results for TaReGe2 after structural relaxation.

Cell and atoms, written as POSCAR:
```
TaReGe2
1.0
1.4689 0.8481 9.3527
-1.4689 0.8481 9.3527
0.0000 -1.6961 9.3527
Ta Re Ge
1 1 2
Direct
0.0000 0.0000 0.0000
0.5000 0.5000 0.5000
0.0953 0.0953 0.0953
0.9047 0.9047 0.9047
```

Output
Formation enthalpy at 0 K in eV/atom: 0.3522

(5)
DFT (PBE) results for LiHfTlTe3 after structural relaxation.

Cell and atoms, written as POSCAR:
```
LiHfTlTe3
1.0
9.2902 0.0000 0.0000
0.0000 4.1960 0.0000
-3.0880 0.0000 9.6047
Li Hf Tl Te
2 2 2 6
Direct
0.0753 0.2500 0.1017
0.9247 0.7500 0.8983
0.3193 0.7500 0.3398
0.6807 0.2500 0.6602
0.2106 0.2500 0.7620
0.7894 0.7500 0.2380
0.1193 0.2500 0.3809
0.2361 0.7500 0.0462
0.4551 0.7500 0.6485
0.5449 0.2500 0.3515
0.7639 0.2500 0.9538
0.8807 0.7500 0.6191
```

Output
Formation energy from raw total energies in meV/atom: -731

(6)
DFT (PBE) results for FeCu3P after structural relaxation.

Cell and atoms, written as POSCAR:
```
FeCu3P
1.0
4.4107 0.0000 0.0000
0.0000 4.4107 0.0000
0.0000 0.0000 4.4107
Fe Cu P
1 3 1
Direct
0.0000 0.0000 0.0000
0.0000 0.0000 0.5000
0.0000 0.5000 0.0000
0.5000 0.0000 0.0000
0.5000 0.5000 0.5000
```

Output
Formation enthalpy at 0 K in eV/atom: 1.2344

(7)
DFT (PBE) results for SrGeMo3 after structural relaxation.

Cell and atoms, written as POSCAR:
```
SrGeMo3
1.0
4.8022 0.0000 0.0000
0.0000 4.8022 0.0000
0.0000 0.0000 4.8022
Sr Ge Mo
1 1 3
Direct
0.0000 0.0000 0.0000
0.5000 0.5000 0.5000
0.0000 0.5000 0.5000
0.5000 0.0000 0.5000
0.5000 0.5000 0.0000
```

Output
Formation enthalpy at 0 K in eV/atom: 1.1956

(8)
DFT (PBE) results for PmSm2Er8 after structural relaxation.

Cell and atoms, written as POSCAR:
```
PmSm2Er8
1.0
8.9466 -2.7351 0.0000
8.9466 2.7351 0.0000
-3.6224 0.0000 7.1960
Pm Sm Er
1 2 8
Direct
0.0000 0.0000 0.0000
0.2998 0.2998 0.3006
0.7002 0.7002 0.6994
0.1388 0.1388 0.4316
0.1395 0.1395 0.8478
0.3388 0.3388 0.8379
0.4998 0.4998 0.2934
0.5002 0.5002 0.7066
0.6612 0.6612 0.1621
0.8605 0.8605 0.1522
0.8612 0.8612 0.5684
```

Output
Formation enthalpy at 0 K in eV/atom: 0.1142

(9)
DFT (PBE) results for DyTm2C3 after structural relaxation.

Cell and atoms, written as POSCAR:
```
DyTm2C3
1.0
-2.7926 5.0492 3.7238
2.7926 -5.0492 3.7238
2.7926 5.0492 -3.7238
Dy Tm C
2 4 6
Direct
0.2790 0.0290 0.2500
0.7210 0.9710 0.7500
0.0957 0.6697 0.4260
0.2562 0.3303 0.9260
0.7438 0.6697 0.0740
0.9043 0.3303 0.5740
0.0000 0.0000 0.5000
0.0000 0.1237 0.1237
0.0000 0.5000 0.0000
0.0000 0.8763 0.8763
0.5000 0.1237 0.6237
0.5000 0.8763 0.3763
```

Output
Formation enthalpy at 0 K in eV/atom: -0.0923

(10)
DFT (PBE) results for MoWAu2 after structural relaxation.

Cell and atoms, written as POSCAR:
```
MoWAu2
1.0
0.0000 3.2411 3.2411
3.2411 0.0000 3.2411
3.2411 3.2411 0.0000
Mo W Au
1 1 2
Direct
0.0000 0.0000 0.0000
0.7500 0.7500 0.7500
0.2500 0.2500 0.2500
0.5000 0.5000 0.5000
```

Output
Formation enthalpy at 0 K in eV/atom: 0.5456

(11)
DFT (PBE) results for ZnCu5Ni4 after structural relaxation.

Cell and atoms, written as POSCAR:
```
ZnCu5Ni4
1.0
5.9746 -1.9525 0.0000
5.9746 1.9525 0.0000
-0.0045 0.0000 5.5999
Zn Cu Ni
1 5 4
Direct
0.0000 0.0000 0.0000
0.0000 0.0000 0.5000
0.3260 0.3260 0.9848
0.3286 0.3286 0.5196
0.6714 0.6714 0.4804
0.6740 0.6740 0.0152
0.1600 0.1600 0.7479
0.4890 0.4890 0.2512
0.5110 0.5110 0.7488
0.8400 0.8400 0.2521
```

Output
Formation enthalpy at 0 K in eV/atom: 0.1957

(12)
DFT (PBE) results for BeB after structural relaxation.

Cell and atoms, written as POSCAR:
```
BeB
1.0
0.0000 2.0381 2.0381
2.0381 0.0000 2.0381
2.0381 2.0381 0.0000
Be B
1 1
Direct
0.0000 0.0000 0.0000
0.5000 0.5000 0.5000
```

Output
Formation enthalpy at 0 K in eV/atom: 1.1415